1.
Below is a relaxed structure of Co3Ir2Rh, with properties calculated at the PBE-GGA level.

ΔH_f (0 K)   0.05 eV per atom
Total magnetization   0.97 μB per atom

abc: 2.6701 4.6245 12.6829
angles: 96.97 90.00 90.00
Fractional positions:
Co (0.7500, 0.6419, 0.6675)
Co (0.2500, 0.3581, 0.3325)
Co (0.7500, 0.8624, 0.3319)
Co (0.2500, 0.1376, 0.6681)
Co (0.2500, 0.2387, 0.9990)
Co (0.7500, 0.7613, 0.0010)
Ir (0.2500, 0.7500, 0.4990)
Ir (0.7500, 0.2500, 0.5010)
Ir (0.7500, 0.0292, 0.8321)
Ir (0.2500, 0.9708, 0.1679)
Rh (0.2500, 0.5297, 0.8341)
Rh (0.7500, 0.4703, 0.1659)

2.
Below is a relaxed structure of SrLaAl, with properties calculated at the PBE-GGA level.

ΔH_f (0 K)   -0.17 eV per atom
Total magnetization   0.00 μB per atom

abc: 11.2723 4.1304 4.9159
angles: 90.01 77.38 101.05
Fractional positions:
Sr (0.8268, 0.0583, 0.0887)
Sr (0.0697, 0.6874, 0.4673)
Al (0.3857, 0.8575, 0.3095)
Al (0.5461, 0.4411, 0.2292)
La (0.5858, 0.9661, 0.7093)
La (0.3070, 0.3146, 0.8487)

3.
Below is a relaxed structure of Ac2LaPr2Nd, with properties calculated at the PBE-GGA level.

ΔH_f (0 K)   0.05 eV per atom
Total magnetization   0.00 μB per atom

abc: 6.0321 7.4651 10.3886
angles: 90.00 90.00 90.00
Fractional positions:
Ac (0.5000, 0.0078, 0.9999)
Ac (0.0000, 0.2578, 0.1699)
Ac (0.5000, 0.5078, 0.0001)
Ac (0.0000, 0.7578, 0.8301)
La (0.0000, 0.0074, 0.5001)
La (0.0000, 0.5074, 0.4999)
Pr (0.0000, 0.2580, 0.8249)
Pr (0.5000, 0.2572, 0.3422)
Pr (0.0000, 0.7580, 0.1751)
Pr (0.5000, 0.7572, 0.6578)
Nd (0.5000, 0.2574, 0.6654)
Nd (0.5000, 0.7574, 0.3346)

4.
Below is a relaxed structure of La4Th3, with properties calculated at the PBE-GGA level.

ΔH_f (0 K)   0.01 eV per atom
Total magnetization   0.00 μB per atom

abc: 3.6151 3.6151 18.6759
angles: 84.45 84.45 90.00
Fractional positions:
La (0.1488, 0.1488, 0.7024)
La (0.8512, 0.8512, 0.2976)
La (0.4335, 0.4335, 0.1330)
La (0.5665, 0.5665, 0.8670)
Th (0.0000, 0.0000, 0.0000)
Th (0.2826, 0.2826, 0.4348)
Th (0.7174, 0.7174, 0.5652)